Computed, not measured: a relaxed Hf12CoNi6 crystal at the PBE level of DFT.

The structure in extended XYZ format:
```
19
Lattice="7.397 -0.073 -0.087 -1.193 7.300 -0.087 -1.193 -1.390 7.167" Properties=species:S:1:pos:R:3 pbc="T T T"
Hf 3.562 0.683 2.960
Hf 5.945 -0.629 4.795
Hf 4.875 3.573 2.898
Hf -0.935 6.466 2.198
Hf 0.135 2.264 4.095
Ni 4.032 2.029 0.892
Hf 3.873 6.609 0.238
Hf 2.218 3.944 1.201
Hf -1.523 3.685 6.545
Hf 1.448 5.154 4.033
Co 0.000 0.000 0.000
Hf 2.793 1.893 5.792
Ni 3.616 5.727 2.610
Hf 6.533 2.153 0.448
Ni -0.102 4.063 2.156
Hf 1.137 -0.772 6.755
Ni 1.394 0.111 4.383
Ni 5.112 1.774 4.837
Ni 0.978 3.808 6.101
```

Output
The total energy is -8.529 eV/atom. The formation enthalpy at 0 K is -0.0427 eV per atom.